Entry 1:
Sm6Ru2RhBr3 | GGA-PBE | optimized geometry

Total magnetization in μB/cell: 0.00
Theoretical density in Mg/m³: 7.2
Formation energy from raw total energies in eV per formula unit: -10.54
Fermi-level density of states in states/eV/atom: 0.5137
Calculated total energy in eV per atom: -5.81

POSCAR file:
```
Sm6Ru2RhBr3
1.0
-2.412 3.935 5.274
-2.787 -6.313 -1.220
6.958 -2.440 3.450
Rh Sm Br Ru
1 6 3 2
direct
0.000 0.000 0.000 Rh
0.273 0.273 0.803 Sm
0.065 0.404 0.196 Sm
0.596 0.935 0.804 Sm
0.727 0.727 0.197 Sm
0.935 0.596 0.804 Sm
0.404 0.065 0.196 Sm
0.168 0.832 0.500 Br
0.832 0.168 0.500 Br
0.500 0.500 0.500 Br
0.334 0.666 0.000 Ru
0.666 0.334 0.000 Ru
```

Entry 2:
PuPaIn2 | GGA-PBE | optimized geometry

Total magnetization in μB/cell: 7.13
ΔH_f (0 K) in meV/atom: -105.6
Theoretical density in Mg/m³: 11.7
Fermi-level density of states in states/eV/atom: 2.2969
Calculated total energy in eV per atom: -7.43
Energy relative to the lowest polymorph listed for this composition in eV/atom: 0.000

POSCAR file:
```
PuPaIn2
1.0
4.929 0.000 0.000
0.000 4.498 0.000
0.000 0.000 4.498
Pu Pa In
1 1 2
direct
0.500 0.000 0.000 Pu
0.500 0.500 0.500 Pa
0.000 0.500 0.000 In
0.000 0.000 0.500 In
```

Entry 3:
Cs2Nb2Fe | GGA-PBE | optimized geometry

Total magnetization in μB/cell: 3.10
ΔH_f (0 K) in meV/atom: 1327.2
Theoretical density in Mg/m³: 4.7
Fermi-level density of states in states/eV/atom: 1.1713
Calculated total energy in eV per atom: -4.73

POSCAR file:
```
Cs2Nb2Fe
1.0
-1.868 -2.619 -1.864
2.259 0.464 -2.916
8.134 -10.096 2.326
Nb Fe Cs
2 1 2
direct
0.250 0.750 0.500 Nb
0.750 0.250 0.500 Nb
0.000 0.000 0.000 Fe
0.605 0.605 0.789 Cs
0.395 0.395 0.211 Cs
```

Entry 4:
KNp2PdO8 | GGA-PBE | optimized geometry

Total magnetization in μB/cell: 1.01
Theoretical density in Mg/m³: 6.1
Formation energy from raw total energies in eV per formula unit: -24.98
Fermi-level density of states in states/eV/atom: 0.4874
Calculated total energy in eV per atom: -8.07

POSCAR file:
```
KNp2PdO8
1.0
5.440 0.564 0.142
0.637 5.408 0.142
0.222 0.220 7.006
Np O K Pd
2 8 1 1
direct
0.500 0.500 0.241 Np
0.500 0.500 0.759 Np
0.645 0.647 0.531 O
0.772 0.197 0.205 O
0.228 0.803 0.795 O
0.804 0.228 0.795 O
0.196 0.772 0.205 O
0.355 0.353 0.469 O
0.648 0.650 0.023 O
0.352 0.350 0.977 O
0.000 0.000 0.500 K
0.000 0.000 0.000 Pd
```

Entry 5:
AlCdMo2 | GGA-PBE | optimized geometry

Total magnetization in μB/cell: 0.00
ΔH_f (0 K) in meV/atom: 215.1
Theoretical density in Mg/m³: 8.3
Fermi-level density of states in states/eV/atom: 0.6155
Calculated total energy in eV per atom: -6.36
Energy relative to the lowest polymorph listed for this composition in eV/atom: 0.114

POSCAR file:
```
AlCdMo2
1.0
-2.794 1.652 -4.539
-2.807 -2.065 3.942
-1.301 2.320 0.718
Mo Al Cd
2 1 1
direct
0.500 0.000 0.500 Mo
0.000 0.000 0.000 Mo
0.000 0.500 0.500 Al
0.500 0.500 0.000 Cd
```

Entry 6:
CoRh2 | GGA-PBE | optimized geometry

Total magnetization in μB/cell: 4.42
ΔH_f (0 K) in meV/atom: 232.7
Theoretical density in Mg/m³: 10.8
Fermi-level density of states in states/eV/atom: 1.6442
Calculated total energy in eV per atom: -7.04

POSCAR file:
```
CoRh2
1.0
1.349 -2.275 0.000
1.349 2.275 0.000
0.000 0.000 13.295
Rh Co
4 2
direct
0.250 0.750 0.413 Rh
0.750 0.250 0.587 Rh
0.750 0.250 0.237 Rh
0.250 0.750 0.763 Rh
0.250 0.750 0.074 Co
0.750 0.250 0.926 Co
```

Entry 7:
ScTaPb | GGA-PBE | optimized geometry

Total magnetization in μB/cell: 0.00
ΔH_f (0 K) in meV/atom: 144.2
Theoretical density in Mg/m³: 10.7
Fermi-level density of states in states/eV/atom: 0.2952
Calculated total energy in eV per atom: -7.15
Energy relative to the lowest polymorph listed for this composition in eV/atom: 0.012

POSCAR file:
```
ScTaPb
1.0
7.339 0.002 0.000
6.034 4.178 0.000
-6.686 -2.090 2.187
Ta Sc Pb
1 1 1
direct
0.672 0.672 0.000 Ta
0.322 0.322 0.000 Sc
0.005 0.005 0.000 Pb
```

Entry 8:
Lu2TlPt | GGA-PBE | optimized geometry

Total magnetization in μB/cell: 0.00
ΔH_f (0 K) in meV/atom: -723.3
Theoretical density in Mg/m³: 13.6
Fermi-level density of states in states/eV/atom: 0.7402
Calculated total energy in eV per atom: -5.09
Energy relative to the lowest polymorph listed for this composition in eV/atom: 0.094

POSCAR file:
```
Lu2TlPt
1.0
5.052 0.000 0.000
2.526 4.375 0.000
2.526 1.458 4.125
Pt Lu Tl
1 2 1
direct
0.500 0.500 0.500 Pt
0.750 0.750 0.750 Lu
0.250 0.250 0.250 Lu
0.000 0.000 0.000 Tl
```